A geometry-optimized KBO3 structure. Source: the Alexandria database, functional PBE.

Cell and atoms, written as CIF:
```
data_KBO3
_chemical_formula_sum 'K1 B1 O3'
_cell_length_a 4.557
_cell_length_b 4.557
_cell_length_c 4.557
_cell_angle_alpha 90.00
_cell_angle_beta 90.00
_cell_angle_gamma 90.00
_symmetry_space_group_name_H-M 'P m -3 m'
_symmetry_Int_Tables_number 221
_symmetry_space_group_name_Hall '-P 4 2 3'
loop_
_atom_site_label
_atom_site_type_symbol
_atom_site_fract_x
_atom_site_fract_y
_atom_site_fract_z
_atom_site_occupancy
K1 K 0.000 0.000 0.000 1
B1 B 0.500 0.500 0.500 1
O1 O 0.000 0.000 0.500 1
```

Properties
* energy relative to the elements, uncorrected: 1.860 eV/atom
* M_tot: 4.000 μB per formula unit
* crystal system: cubic

---

A geometry-optimized KB3O5 structure. Source: the Alexandria database, functional PBE.

Cell and atoms, written as CIF:
```
data_KB3O5
_chemical_formula_sum 'K12 B36 O60'
_cell_length_a 9.497
_cell_length_b 6.730
_cell_length_c 21.362
_cell_angle_alpha 90.00
_cell_angle_beta 94.15
_cell_angle_gamma 90.00
_symmetry_space_group_name_H-M 'P 1 21/c 1'
_symmetry_Int_Tables_number 14
loop_
_symmetry_equiv_pos_as_xyz
'x,y,z'
'-x,-y,-z'
'-x,y+1/2,-z+1/2'
'x,-y+1/2,z+1/2'
loop_
_atom_site_label
_atom_site_type_symbol
_atom_site_fract_x
_atom_site_fract_y
_atom_site_fract_z
_atom_site_occupancy
K1 K 0.071 0.032 0.259 1
K2 K 0.235 0.701 0.538 1
K3 K 0.406 0.685 0.384 1
B1 B 0.018 0.204 0.112 1
B2 B 0.106 0.138 0.899 1
B3 B 0.145 0.008 0.420 1
B4 B 0.202 0.076 0.667 1
B5 B 0.255 0.242 0.570 1
B6 B 0.327 0.249 0.962 1
B7 B 0.355 0.697 0.216 1
B8 B 0.418 0.009 0.279 1
B9 B 0.483 0.209 0.372 1
O1 O 0.020 0.501 0.369 1
O2 O 0.064 0.161 0.391 1
O3 O 0.083 0.193 0.669 1
O4 O 0.108 0.688 0.914 1
O5 O 0.121 0.185 0.063 1
O6 O 0.224 0.577 0.208 1
O7 O 0.229 0.095 0.934 1
O8 O 0.265 0.049 0.456 1
O9 O 0.298 0.119 0.621 1
O10 O 0.325 0.635 0.757 1
O11 O 0.357 0.210 0.030 1
O12 O 0.385 0.090 0.337 1
O13 O 0.396 0.730 0.654 1
O14 O 0.461 0.231 0.931 1
O15 O 0.466 0.571 0.249 1
```

Properties
* energy relative to the elements, uncorrected: -2.427 eV/atom
* M_tot: 0.000 μB per formula unit
* E above lowest polymorph: 0.000 eV/atom
* crystal system: monoclinic

---

A geometry-optimized KBO2 structure. Source: the Alexandria database, functional PBE.

Cell and atoms, written as CIF:
```
data_KBO2
_chemical_formula_sum 'K3 B3 O6'
_cell_length_a 5.8610
_cell_length_b 5.8610
_cell_length_c 6.8506
_cell_angle_alpha 90.00
_cell_angle_beta 90.00
_cell_angle_gamma 120.00
_symmetry_space_group_name_H-M 'P 31 2 1'
_symmetry_Int_Tables_number 152
loop_
_symmetry_equiv_pos_as_xyz
'x,y,z'
'-y,x-y,z+1/3'
'-x+y,-x,z+2/3'
'y,x,-z'
'x-y,-y,-z+2/3'
'-x,-x+y,-z+1/3'
loop_
_atom_site_label
_atom_site_type_symbol
_atom_site_fract_x
_atom_site_fract_y
_atom_site_fract_z
_atom_site_occupancy
K1 K 0.0000 0.6397 0.1667 1
B1 B 0.0000 0.7183 0.6667 1
O1 O 0.1658 0.3818 0.9071 1
```

Properties
* energy relative to the elements, uncorrected: -2.129 eV/atom
* M_tot: 0.000 μB per formula unit
* crystal system: trigonal

---

A geometry-optimized KBO2 structure. Source: the Alexandria database, functional PBE.

Cell and atoms, written as CIF:
```
data_KBO2
_chemical_formula_sum 'K3 B3 O6'
_cell_length_a 3.7399
_cell_length_b 3.7399
_cell_length_c 16.9732
_cell_angle_alpha 90.00
_cell_angle_beta 90.00
_cell_angle_gamma 120.00
_symmetry_space_group_name_H-M 'R -3 m'
_symmetry_Int_Tables_number 166
_symmetry_space_group_name_Hall '-R 3 2"'
loop_
_atom_site_label
_atom_site_type_symbol
_atom_site_fract_x
_atom_site_fract_y
_atom_site_fract_z
_atom_site_occupancy
K1 K 0.0000 0.0000 0.0000 1
B1 B 0.0000 0.0000 0.5000 1
O1 O 0.0000 0.0000 0.4256 1
```

Properties
* energy relative to the elements, uncorrected: -2.139 eV/atom
* M_tot: 0.000 μB per formula unit
* crystal system: trigonal

---

A geometry-optimized K2B4O7 structure. Source: the Alexandria database, functional PBE.

Cell and atoms, written as CIF:
```
data_K2B4O7
_chemical_formula_sum 'K8 B16 O28'
_cell_length_a 6.563
_cell_length_b 9.798
_cell_length_c 10.547
_cell_angle_alpha 89.21
_cell_angle_beta 77.38
_cell_angle_gamma 79.01
_symmetry_space_group_name_H-M 'P -1'
_symmetry_Int_Tables_number 2
loop_
_symmetry_equiv_pos_as_xyz
'x,y,z'
'-x,-y,-z'
loop_
_atom_site_label
_atom_site_type_symbol
_atom_site_fract_x
_atom_site_fract_y
_atom_site_fract_z
_atom_site_occupancy
K1 K 0.141 0.123 0.039 1
K2 K 0.165 0.518 0.124 1
K3 K 0.259 0.997 0.408 1
K4 K 0.287 0.625 0.501 1
B1 B 0.050 0.154 0.730 1
B2 B 0.175 0.295 0.544 1
B3 B 0.305 0.910 0.733 1
B4 B 0.313 0.313 0.747 1
B5 B 0.365 0.805 0.158 1
B6 B 0.372 0.555 0.809 1
B7 B 0.391 0.296 0.314 1
B8 B 0.436 0.773 0.906 1
O1 O 0.018 0.225 0.607 1
O2 O 0.152 0.233 0.804 1
O3 O 0.153 0.869 0.186 1
O4 O 0.178 0.013 0.680 1
O5 O 0.189 0.315 0.412 1
O6 O 0.267 0.445 0.826 1
O7 O 0.293 0.897 0.864 1
O8 O 0.305 0.347 0.608 1
O9 O 0.323 0.651 0.911 1
O10 O 0.359 0.257 0.189 1
O11 O 0.449 0.816 0.642 1
O12 O 0.463 0.762 0.259 1
O13 O 0.478 0.430 0.303 1
O14 O 0.481 0.795 0.032 1
```

Properties
* energy relative to the elements, uncorrected: -2.400 eV/atom
* M_tot: 0.000 μB per formula unit
* crystal system: triclinic

---

A geometry-optimized KBO3 structure. Source: the Alexandria database, functional PBE.

Cell and atoms, written as CIF:
```
data_KBO3
_chemical_formula_sum 'K1 B1 O3'
_cell_length_a 3.534
_cell_length_b 3.534
_cell_length_c 3.534
_cell_angle_alpha 90.00
_cell_angle_beta 90.00
_cell_angle_gamma 90.00
_symmetry_space_group_name_H-M 'P m -3 m'
_symmetry_Int_Tables_number 221
_symmetry_space_group_name_Hall '-P 4 2 3'
loop_
_atom_site_label
_atom_site_type_symbol
_atom_site_fract_x
_atom_site_fract_y
_atom_site_fract_z
_atom_site_occupancy
K1 K 0.000 0.000 0.000 1
B1 B 0.500 0.500 0.500 1
O1 O 0.000 0.500 0.500 1
```

Properties
* energy relative to the elements, uncorrected: -0.414 eV/atom
* M_tot: 2.000 μB per formula unit
* crystal system: cubic

---

A geometry-optimized KBOsO6 structure. Source: the Alexandria database, functional PBE.

Cell and atoms, written as CIF:
```
data_KBOsO6
_chemical_formula_sum 'K1 B1 Os1 O6'
_cell_length_a 5.661
_cell_length_b 5.704
_cell_length_c 5.877
_cell_angle_alpha 81.50
_cell_angle_beta 73.80
_cell_angle_gamma 63.91
_symmetry_space_group_name_H-M 'P 1'
_symmetry_Int_Tables_number 1
loop_
_symmetry_equiv_pos_as_xyz
'x,y,z'
loop_
_atom_site_label
_atom_site_type_symbol
_atom_site_fract_x
_atom_site_fract_y
_atom_site_fract_z
_atom_site_occupancy
K1 K 0.000 0.000 0.000 1
B1 B 0.126 0.548 0.579 1
Os1 Os 0.678 0.610 0.509 1
O1 O 0.025 0.656 0.377 1
O2 O 0.317 0.585 0.645 1
O3 O 0.528 0.837 0.736 1
O4 O 0.601 0.790 0.252 1
O5 O 0.786 0.281 0.447 1
O6 O 0.965 0.435 0.722 1
```

Properties
* energy relative to the elements, uncorrected: -1.448 eV/atom
* M_tot: 0.000 μB per formula unit
* crystal system: triclinic

---

A geometry-optimized KBPO2 structure. Source: the Alexandria database, functional PBE.

Cell and atoms, written as CIF:
```
data_KBPO2
_chemical_formula_sum 'K1 B1 P1 O2'
_cell_length_a 4.120
_cell_length_b 4.120
_cell_length_c 3.689
_cell_angle_alpha 90.00
_cell_angle_beta 90.00
_cell_angle_gamma 90.00
_symmetry_space_group_name_H-M 'P 4/m m m'
_symmetry_Int_Tables_number 123
_symmetry_space_group_name_Hall '-P 4 2'
loop_
_atom_site_label
_atom_site_type_symbol
_atom_site_fract_x
_atom_site_fract_y
_atom_site_fract_z
_atom_site_occupancy
K1 K 0.000 0.000 0.000 1
B1 B 0.500 0.500 0.500 1
P1 P 0.500 0.500 0.000 1
O1 O 0.000 0.500 0.500 1
```

Properties
* energy relative to the elements, uncorrected: 0.216 eV/atom
* M_tot: 0.000 μB per formula unit
* E above lowest polymorph: 0.000 eV/atom
* crystal system: tetragonal

---

Number 2 is which compound?
KB3O5